(1)
This record from the Alexandria database describes Ti5Pd3Rh12 after structural relaxation. The functional is PBE-GGA.

CIF file:
```
data_Ti5Pd3Rh12
_space_group_name_H-M_alt 'I a -3 d'
_space_group_IT_number 230
_space_group_name_Hall '-I 4bd 2c 3'
_cell_length_a 14.336
_cell_length_b 14.336
_cell_length_c 14.336
_cell_angle_alpha 90.00
_cell_angle_beta 90.00
_cell_angle_gamma 90.00
loop_
_atom_site_label
_atom_site_fract_x
_atom_site_fract_y
_atom_site_fract_z
_atom_site_occupancy
Ti1 0.000 0.000 0.000 1
Ti2 0.000 0.250 0.375 1
Pd1 0.000 0.250 0.125 1
Rh1 0.018 0.073 0.652 1
```

Output
DOS(E_F) = 273.31 states/eV/cell
E = -1099.56 eV for the cell shown
Energy relative to the elements = 0.29 eV/atom
Volume = 2947 Å³/cell

=====

(2)
This record from the Alexandria database describes NaSnPd2 after structural relaxation. The functional is PBE-GGA.

CIF file:
```
data_NaSnPd2
_space_group_name_H-M_alt 'P 4/m m m'
_space_group_IT_number 123
_space_group_name_Hall '-P 4 2'
_cell_length_a 3.275
_cell_length_b 3.275
_cell_length_c 7.251
_cell_angle_alpha 90.00
_cell_angle_beta 90.00
_cell_angle_gamma 90.00
loop_
_atom_site_label
_atom_site_fract_x
_atom_site_fract_y
_atom_site_fract_z
_atom_site_occupancy
Na1 0.000 0.000 0.000 1
Sn1 0.000 0.000 0.500 1
Pd1 0.500 0.500 0.289 1
```

Output
DOS(E_F) = 1.44 states/eV/cell
E = -17.04 eV for the cell shown
Energy relative to the elements = -0.33 eV/atom
Volume = 78 Å³/cell

=====

(3)
This record from the Alexandria database describes AsH5I4 after structural relaxation. The functional is PBE-GGA.

CIF file:
```
data_AsH5I4
_space_group_name_H-M_alt 'I 4'
_space_group_IT_number 79
_space_group_name_Hall 'I 4'
_cell_length_a 7.965
_cell_length_b 7.965
_cell_length_c 7.770
_cell_angle_alpha 90.00
_cell_angle_beta 90.00
_cell_angle_gamma 90.00
loop_
_atom_site_label
_atom_site_fract_x
_atom_site_fract_y
_atom_site_fract_z
_atom_site_occupancy
As1 0.000 0.000 0.000 1
H1 0.000 0.000 0.803 1
H2 0.101 0.803 0.019 1
I1 0.089 0.290 0.496 1
```

Output
DOS(E_F) = 10.15 states/eV/cell
E = -51.24 eV for the cell shown
Volume = 493 Å³/cell

=====

(4)
This record from the Alexandria database describes AcNdCd after structural relaxation. The functional is PBE-GGA.

CIF file:
```
data_AcNdCd
_space_group_name_H-M_alt 'I 4 m m'
_space_group_IT_number 107
_space_group_name_Hall 'I 4 -2'
_cell_length_a 3.940
_cell_length_b 3.940
_cell_length_c 13.293
_cell_angle_alpha 90.00
_cell_angle_beta 90.00
_cell_angle_gamma 90.00
loop_
_atom_site_label
_atom_site_fract_x
_atom_site_fract_y
_atom_site_fract_z
_atom_site_occupancy
Ac1 0.000 0.000 0.000 1
Nd1 0.000 0.000 0.698 1
Cd1 0.000 0.000 0.333 1
```

Output
DOS(E_F) = 8.37 states/eV/cell
E = -20.69 eV for the cell shown
Energy relative to the elements = -0.18 eV/atom
Volume = 206 Å³/cell
Energy above the lowest structure with this stoichiometry = 0.0 meV/atom

=====

(5)
This record from the Alexandria database describes Fe2PI2 after structural relaxation. The functional is PBE-GGA.

CIF file:
```
data_Fe2PI2
_space_group_name_H-M_alt 'I 4/m m m'
_space_group_IT_number 139
_space_group_name_Hall '-I 4 2'
_cell_length_a 5.125
_cell_length_b 5.125
_cell_length_c 11.315
_cell_angle_alpha 90.00
_cell_angle_beta 90.00
_cell_angle_gamma 90.00
loop_
_atom_site_label
_atom_site_fract_x
_atom_site_fract_y
_atom_site_fract_z
_atom_site_occupancy
Fe1 0.000 0.000 0.176 1
P1 0.000 0.000 0.000 1
I1 0.000 0.500 0.250 1
```

Output
Formation energy (no corrections) = 0.4587 eV per atom
DOS(E_F) = 11.99 states/eV/cell
E = -46.28 eV for the cell shown
Volume = 297 Å³/cell

=====

(6)
This record from the Alexandria database describes TmAgBi2 after structural relaxation. The functional is PBE-GGA.

CIF file:
```
data_TmAgBi2
_space_group_name_H-M_alt 'P 4/m m m'
_space_group_IT_number 123
_space_group_name_Hall '-P 4 2'
_cell_length_a 4.942
_cell_length_b 4.942
_cell_length_c 4.284
_cell_angle_alpha 90.00
_cell_angle_beta 90.00
_cell_angle_gamma 90.00
loop_
_atom_site_label
_atom_site_fract_x
_atom_site_fract_y
_atom_site_fract_z
_atom_site_occupancy
Tm1 0.000 0.000 0.000 1
Ag1 0.500 0.500 0.000 1
Bi1 0.000 0.500 0.500 1
```

Output
DOS(E_F) = 2.10 states/eV/cell
E = -16.34 eV for the cell shown
Energy relative to the elements = -0.31 eV/atom
Volume = 105 Å³/cell